This record from the Alexandria database describes a relaxed structure of Ca4PtSe. The functional is GGA-PBE.

Summary:
E in eV/atom: -2.78
V in Å³/atom: 29.26
Formation energy from raw total energies in eV per atom: 0.141
Calculated density in kg/m3: 4109

Cell lengths 8.8882, 8.8882, 8.8882 Å; angles 90.00, 90.00, 90.00 degrees
Closest atoms and distances in Å follow each position.
Space group F-43m (No. 216)
One atom of each set of equivalent atoms:
Ca 0.1248 0.1248 0.1248 (multiplicity 16)  6 Ca 3.14-3.15
Pt 0.2500 0.2500 0.7500 (multiplicity 4)  12 Ca 3.68, 4 Se 3.85
Se 0.0000 0.0000 0.5000 (multiplicity 4)  12 Ca 3.69, 4 Pt 3.85


This record from the Alexandria database describes a relaxed structure of Mg2AgAs2. The functional is GGA-PBE.

Summary:
E in eV/atom: -3.21
V in Å³/atom: 19.94
Calculated density in kg/m3: 5101

Cell lengths 8.0732, 8.0732, 3.0600 Å; angles 90.00, 90.00, 90.00 degrees
Closest atoms and distances in Å follow each position.
Space group P4/mbm (No. 127)
One atom of each set of equivalent atoms:
Mg 0.1391 0.3609 0.0000 (multiplicity 4)  6 As 2.74-2.88, 2 Mg 3.06
Ag 0.0000 0.0000 0.0000 (multiplicity 2)  2 Ag 3.06, 4 Mg 3.12, 8 As 3.39
As 0.1617 0.6617 0.5000 (multiplicity 4)  6 Mg 2.74-2.88, 2 As 3.06


This record from the Alexandria database describes a relaxed structure of DyGeO. The functional is GGA-PBE.

Summary:
E in eV/atom: -6.49
V in Å³/atom: 19.16
Formation energy from raw total energies in eV per atom: -1.767
Calculated density in kg/m3: 7254

Cell lengths 3.1187, 13.8798, 5.3126 Å; angles 90.00, 90.00, 90.00 degrees
Closest atoms and distances in Å follow each position.
Space group Cmcm (No. 63)
One atom of each set of equivalent atoms:
Dy 0.0000 0.0677 0.2500 (multiplicity 4)  4 O 2.25
Ge 0.0000 0.2266 0.7500 (multiplicity 4)  6 Ge 3.12-3.15, 4 Dy 3.25-3.45
O 0.0000 0.5000 0.0000 (multiplicity 4)  4 Dy 2.25


This record from the Alexandria database describes a relaxed structure of K2Cd2Hg3. The functional is GGA-PBE.

Summary:
E in eV/atom: -0.87
V in Å³/atom: 31.48
Calculated density in kg/m3: 6818

Cell lengths 12.2174, 4.9695, 8.0575 Å; angles 90.00, 115.72, 90.00 degrees
Closest atoms and distances in Å follow each position.
Space group C2/m (No. 12)
One atom of each set of equivalent atoms:
K 0.1503 0.0000 0.2709 (multiplicity 4)  4 Cd 3.51-3.80, 5 Hg 3.53-3.85
Cd 0.1385 0.0000 0.7344 (multiplicity 4)  5 Hg 3.09-3.14
Hg 0.0000 0.5000 0.5000 (multiplicity 2)  4 Cd 3.14, 2 Hg 3.18
Hg 0.1059 0.5000 0.9366 (multiplicity 4)  3 Cd 3.09-3.10, 2 Hg 3.17-3.18


This record from the Alexandria database describes a relaxed structure of Be2Rh. The functional is GGA-PBE.

Summary:
E in eV/atom: -5.23
V in Å³/atom: 10.40
Calculated density in kg/m3: 6435

Cell lengths 2.7429, 3.3573, 13.5541 Å; angles 90.00, 90.00, 90.00 degrees
Closest atoms and distances in Å follow each position.
Space group Imma (No. 74)
One atom of each set of equivalent atoms:
Be 0.0000 0.2500 0.0394 (multiplicity 4)  3 Be 1.99-2.05
Be 0.0000 0.2500 0.1903 (multiplicity 4)  3 Be 2.05-2.12
Rh 0.0000 0.2500 0.6186 (multiplicity 4)  10 Be 2.38-2.54


This record from the Alexandria database describes a relaxed structure of DyPuMn. The functional is GGA-PBE.

Summary:
E in eV/atom: -9.25
V in Å³/atom: 22.33
Calculated density in kg/m3: 11436

Cell lengths 3.4446, 3.4446, 11.2944 Å; angles 90.00, 90.00, 90.00 degrees
Closest atoms and distances in Å follow each position.
Space group I4mm (No. 107)
One atom of each set of equivalent atoms:
Dy 0.0000 0.0000 0.0000 (multiplicity 2)  4 Mn 3.13, 5 Pu 3.22-3.44, 4 Dy 3.44
Pu 0.0000 0.0000 0.2850 (multiplicity 2)  4 Mn 2.74
Mn 0.0000 0.0000 0.6740 (multiplicity 2)  4 Pu 2.74


This record from the Alexandria database describes a relaxed structure of BiIrIO2. The functional is GGA-PBE.

Summary:
E in eV/atom: -4.37
V in Å³/atom: 23.85
Formation energy from raw total energies in eV per atom: 0.473
Calculated density in kg/m3: 7799

Cell lengths 4.1345, 4.1345, 6.9768 Å; angles 90.00, 90.00, 90.00 degrees
Closest atoms and distances in Å follow each position.
Space group P4/mmm (No. 123)
One atom of each set of equivalent atoms:
Bi 0.0000 0.0000 0.0000 (multiplicity 1)  4 O 2.07
Ir 0.5000 0.5000 0.5000 (multiplicity 1)  4 I 2.92
I 0.0000 0.0000 0.5000 (multiplicity 1)  4 Ir 2.92
O 0.0000 0.5000 0.0000 (multiplicity 2)  2 Bi 2.07


This record from the Alexandria database describes a relaxed structure of TbNd2Er6. The functional is GGA-PBE.

Summary:
E in eV/atom: -4.51
V in Å³/atom: 32.06
Calculated density in kg/m3: 8350

Cell lengths 12.7902, 14.1814, 6.5452 Å; angles 90.00, 103.55, 90.00 degrees
Closest atoms and distances in Å follow each position.
Space group C2/c (No. 15)
One atom of each set of equivalent atoms:
Tb 0.0000 0.1180 0.2500 (multiplicity 4)  8 Er 3.27-3.66
Nd 0.1430 0.4737 0.3741 (multiplicity 8)  3 Nd 3.36-3.64, 7 Er 3.40-3.66
Er 0.0353 0.3112 0.0028 (multiplicity 8)  5 Er 3.22-3.56, 1 Tb 3.27, 3 Nd 3.40-3.53
Er 0.1321 0.0891 0.8153 (multiplicity 8)  3 Er 3.29-3.43, 2 Tb 3.37-3.66, 2 Nd 3.50-3.51
Er 0.2401 0.2984 0.7317 (multiplicity 8)  7 Er 3.37-3.72, 2 Nd 3.44-3.66, 1 Tb 3.50


This record from the Alexandria database describes a relaxed structure of NdThSn2. The functional is GGA-PBE.

Summary:
E in eV/atom: -5.64
V in Å³/atom: 28.60
Calculated density in kg/m3: 8907

Cell lengths 3.5503, 3.5503, 9.0771 Å; angles 90.00, 90.00, 90.00 degrees
Closest atoms and distances in Å follow each position.
Space group P4/mmm (No. 123)
One atom of each set of equivalent atoms:
Nd 0.0000 0.0000 0.0000 (multiplicity 1)  8 Sn 3.38, 4 Nd 3.55
Th 0.0000 0.0000 0.5000 (multiplicity 1)  8 Sn 3.39, 4 Th 3.55
Sn 0.5000 0.5000 0.2492 (multiplicity 2)  4 Nd 3.38, 4 Th 3.39, 4 Sn 3.55


This record from the Alexandria database describes a relaxed structure of LaHo4Tm3. The functional is GGA-PBE.

Summary:
E in eV/atom: -4.55
V in Å³/atom: 31.44
Calculated density in kg/m3: 8619

Cell lengths 5.0135, 9.9941, 10.0395 Å; angles 90.00, 90.00, 90.00 degrees
Closest atoms and distances in Å follow each position.
Space group Pmmn (No. 59, origin choice 2)
One atom of each set of equivalent atoms:
La 0.2500 0.2500 0.1238 (multiplicity 2)  8 Tm 3.53-3.56, 4 Ho 3.57-3.58
Ho 0.2500 0.2500 0.6250 (multiplicity 2)  4 Tm 3.52, 8 Ho 3.53-3.54
Ho 0.2500 0.5014 0.3763 (multiplicity 4)  8 Ho 3.50-3.55, 3 Tm 3.52-3.55, 1 La 3.57
Ho 0.2500 0.7500 0.6219 (multiplicity 2)  8 Ho 3.50-3.55, 2 Tm 3.57, 2 La 3.58
Tm 0.2500 0.0020 0.8736 (multiplicity 4)  4 Ho 3.52-3.57, 5 Tm 3.53-3.59, 3 La 3.53-3.55
Tm 0.2500 0.7500 0.1286 (multiplicity 2)  4 Ho 3.52, 6 Tm 3.53-3.59, 2 La 3.56


This record from the Alexandria database describes a relaxed structure of Pm6CdAg2. The functional is GGA-PBE.

Summary:
E in eV/atom: -4.07
V in Å³/atom: 29.56
Calculated density in kg/m3: 7478

Cell lengths 5.2356, 12.9521, 15.6942 Å; angles 90.00, 90.00, 90.00 degrees
Closest atoms and distances in Å follow each position.
Space group Fmmm (No. 69)
One atom of each set of equivalent atoms:
Pm 0.0000 0.1473 0.1688 (multiplicity 16)  3 Ag 3.24-3.30, 1 Cd 3.26
Pm 0.0000 0.1565 0.5000 (multiplicity 8)  2 Ag 3.22, 2 Cd 3.31, 2 Pm 3.57
Cd 0.0000 0.0000 0.0000 (multiplicity 4)  8 Pm 3.26-3.31, 4 Ag 3.62
Ag 0.0000 0.0000 0.3403 (multiplicity 8)  8 Pm 3.22-3.30


This record from the Alexandria database describes a relaxed structure of RbH2Br2O6. The functional is GGA-PBE.

Summary:
E in eV/atom: -4.01
V in Å³/atom: 18.17
Calculated density in kg/m3: 2852

Cell lengths 4.5253, 6.8450, 7.0502 Å; angles 110.69, 100.64, 91.34 degrees
Closest atoms and distances in Å follow each position.
Space group P-1 (No. 2)
One atom of each set of equivalent atoms:
Rb 0.0000 0.0000 0.0000 (multiplicity 1)  6 O 2.95-3.06, 2 H 3.29
H 0.1085 0.3830 0.8328 (multiplicity 2)  1 O 0.99
Br 0.3154 0.7091 0.4730 (multiplicity 2)  2 O 1.69-1.70
O 0.1029 0.6383 0.1560 (multiplicity 2)  1 H 0.99
O 0.3486 0.3625 0.5851 (multiplicity 2)  1 Br 1.69
O 0.3999 0.9197 0.7001 (multiplicity 2)  1 Br 1.70